# 1
{"formula": "MoBr", "functional": "PBE", "state": "optimized geometry", "lattice_angstrom": [[2.075, 1.198, 7.336], [-2.075, 1.198, 7.336], [0.000, -2.395, 7.336]], "species": ["Mo", "Mo", "Br", "Br"], "fractional_positions": [[0.167, 0.167, 0.167], [0.833, 0.833, 0.833], [0.411, 0.411, 0.411], [0.589, 0.589, 0.589]], "polymorph_energy_ev_per_fu": 1.395, "final_energy_ev_per_atom": -5.628, "spacegroup": "R-3m, No. 166", "magmom_total_mub_per_fu": 0.0, "crystal_system": "trigonal"}



# 2
{"formula": "Dy2AsN", "functional": "PBE", "state": "optimized geometry", "lattice_angstrom": [[1.838, 1.061, 6.725], [-1.838, 1.061, 6.725], [0.000, -2.122, 6.725]], "species": ["Dy", "Dy", "As", "N"], "fractional_positions": [[0.000, 0.000, 0.000], [0.148, 0.148, 0.148], [0.573, 0.573, 0.573], [0.403, 0.403, 0.403]], "polymorph_energy_ev_per_fu": 1.231, "final_energy_ev_per_atom": -6.660, "spacegroup": "R3m, No. 160", "magmom_total_mub_per_fu": 0.0, "crystal_system": "trigonal"}



# 3
{"formula": "Co2AgSb", "functional": "PBE", "state": "optimized geometry", "lattice_angstrom": [[3.121, 0.000, 0.000], [0.000, 3.137, 0.000], [0.000, 0.000, 6.058]], "species": ["Co", "Co", "Ag", "Sb"], "fractional_positions": [[0.000, 0.000, 0.225], [0.000, 0.000, 0.775], [0.500, 0.500, 0.500], [0.500, 0.500, 0.000]], "final_energy_ev_per_atom": -4.987, "spacegroup": "Pmmm, No. 47", "magmom_total_mub_per_fu": 0.0, "crystal_system": "orthorhombic"}



# 4
{"formula": "Th5Pb2C2", "functional": "PBE", "state": "optimized geometry", "lattice_angstrom": [[-9.322, 4.046, 3.424], [9.322, -4.046, 3.424], [9.322, 4.046, -3.424]], "species": ["Th", "Th", "Th", "Th", "Th", "Th", "Th", "Th", "Th", "Th", "Pb", "Pb", "Pb", "Pb", "C", "C", "C", "C"], "fractional_positions": [[0.250, 0.021, 0.271], [0.250, 0.479, 0.728], [0.314, 0.403, 0.411], [0.687, 0.107, 0.305], [0.687, 0.882, 0.081], [0.750, 0.521, 0.272], [0.750, 0.979, 0.729], [0.801, 0.382, 0.695], [0.801, 0.607, 0.919], [0.992, 0.903, 0.589], [0.206, 0.364, 0.063], [0.206, 0.643, 0.342], [0.301, 0.143, 0.937], [0.301, 0.864, 0.658], [0.746, 0.570, 0.676], [0.756, 0.256, 0.500], [0.756, 0.756, 0.000], [0.894, 0.070, 0.324]], "final_energy_ev_per_atom": -7.171, "spacegroup": "Ima2, No. 46", "formation_enthalpy_0k_ev_per_atom": -0.17, "magmom_total_mub_per_fu": 0.0, "crystal_system": "orthorhombic"}



# 5
{"formula": "YAg3", "functional": "PBE", "state": "optimized geometry", "lattice_angstrom": [[5.812, 0.000, 0.000], [0.000, 5.812, 0.000], [0.000, 0.000, 5.812]], "species": ["Y", "Ag", "Ag", "Ag"], "fractional_positions": [[0.000, 0.000, 0.000], [0.000, 0.000, 0.500], [0.000, 0.500, 0.000], [0.500, 0.000, 0.000]], "final_energy_ev_per_atom": -2.699, "spacegroup": "Pm-3m, No. 221", "formation_enthalpy_0k_ev_per_atom": 1.06, "magmom_total_mub_per_fu": 0.0, "crystal_system": "cubic"}



# 6
{"formula": "CsZn2InCl8", "functional": "PBE", "state": "optimized geometry", "lattice_angstrom": [[3.202, 1.848, 10.346], [-3.202, 1.848, 10.346], [0.000, -3.697, 10.346]], "species": ["Cs", "Zn", "Zn", "In", "Cl", "Cl", "Cl", "Cl", "Cl", "Cl", "Cl", "Cl"], "fractional_positions": [[0.000, 0.000, 0.000], [0.239, 0.239, 0.239], [0.761, 0.761, 0.761], [0.500, 0.500, 0.500], [0.132, 0.780, 0.442], [0.220, 0.558, 0.868], [0.310, 0.310, 0.310], [0.442, 0.132, 0.780], [0.558, 0.868, 0.220], [0.690, 0.690, 0.690], [0.780, 0.442, 0.132], [0.868, 0.220, 0.558]], "final_energy_ev_per_atom": -3.012, "spacegroup": "R-3, No. 148", "magmom_total_mub_per_fu": 0.0, "crystal_system": "trigonal"}



# 7
{"formula": "LiPt2Cl", "functional": "PBE", "state": "optimized geometry", "lattice_angstrom": [[2.790, 0.000, 0.000], [0.000, 4.354, 0.000], [0.000, 0.000, 5.330]], "species": ["Li", "Pt", "Pt", "Cl"], "fractional_positions": [[0.000, 0.000, 0.000], [0.500, 0.500, 0.242], [0.500, 0.500, 0.758], [0.000, 0.000, 0.500]], "polymorph_energy_ev_per_fu": 1.745, "final_energy_ev_per_atom": -3.859, "spacegroup": "Pmmm, No. 47", "magmom_total_mub_per_fu": 0.0, "crystal_system": "orthorhombic"}



# 8
{"formula": "Ga2OsAu", "functional": "PBE", "state": "optimized geometry", "lattice_angstrom": [[0.000, 3.145, 3.145], [3.145, 0.000, 3.145], [3.145, 3.145, 0.000]], "species": ["Ga", "Ga", "Os", "Au"], "fractional_positions": [[0.250, 0.250, 0.250], [0.750, 0.750, 0.750], [0.000, 0.000, 0.000], [0.500, 0.500, 0.500]], "polymorph_energy_ev_per_fu": 0.000, "final_energy_ev_per_atom": -4.954, "spacegroup": "Fm-3m, No. 225", "formation_enthalpy_0k_ev_per_atom": 0.19, "magmom_total_mub_per_fu": 0.0, "crystal_system": "cubic"}